Be3AlIr | PBE-GGA | relaxed

Output
V: 75.7 Å³/cell
symmetry: Pm-3m
VASP energy: -4.411 eV/atom
mass density: 5.4 g cm⁻³
DFT formation energy: 1.729 eV per formula unit

Cell lengths 4.2305, 4.2305, 4.2305 Å; angles 90.00, 90.00, 90.00 degrees
Last column: nearest neighbours and their distance in Å.
Positions (direct):
1 Be 0.0000 0.0000 0.5000  2 Ir 2.12
2 Be 0.0000 0.5000 0.0000  2 Ir 2.12
3 Be 0.5000 0.0000 0.0000  2 Ir 2.12
4 Al 0.5000 0.5000 0.5000  12 Be 2.99
5 Ir 0.0000 0.0000 0.0000  6 Be 2.12